Entry 1:
This record from Alexandria describes SrW2Au after structural relaxation. The functional is PBE-GGA.

```
data_SrW2Au
_chemical_formula_sum 'Sr1 W2 Au1'
_cell_length_a 3.578
_cell_length_b 3.578
_cell_length_c 7.182
_cell_angle_alpha 90.00
_cell_angle_beta 90.00
_cell_angle_gamma 90.00
_symmetry_space_group_name_H-M 'P 4/m m m'
_symmetry_Int_Tables_number 123
_symmetry_space_group_name_Hall '-P 4 2'
loop_
_atom_site_label
_atom_site_type_symbol
_atom_site_fract_x
_atom_site_fract_y
_atom_site_fract_z
_atom_site_occupancy
Sr1 Sr 0.000 0.000 0.000 1
W1 W 0.500 0.500 0.337 1
Au1 Au 0.000 0.000 0.500 1
```

Summary:
Crystal system = tetragonal

***

Entry 2:
This record from Alexandria describes SrW2Au after structural relaxation. The functional is PBE-GGA.

```
data_SrW2Au
_chemical_formula_sum 'Sr4 W8 Au4'
_cell_length_a 6.794
_cell_length_b 6.794
_cell_length_c 6.794
_cell_angle_alpha 90.00
_cell_angle_beta 90.00
_cell_angle_gamma 90.00
_symmetry_space_group_name_H-M 'F -4 3 m'
_symmetry_Int_Tables_number 216
_symmetry_space_group_name_Hall 'F -4 2 3'
loop_
_atom_site_label
_atom_site_type_symbol
_atom_site_fract_x
_atom_site_fract_y
_atom_site_fract_z
_atom_site_occupancy
Sr1 Sr 0.000 0.000 0.000 1
W1 W 0.000 0.000 0.500 1
W2 W 0.250 0.250 0.750 1
Au1 Au 0.250 0.250 0.250 1
```

Summary:
Crystal system = cubic

***

Entry 3:
This record from Alexandria describes Sr2WAu2 after structural relaxation. The functional is PBE-GGA.

```
data_Sr2WAu2
_chemical_formula_sum 'Sr4 W2 Au4'
_cell_length_a 7.143
_cell_length_b 7.143
_cell_length_c 5.045
_cell_angle_alpha 90.00
_cell_angle_beta 90.00
_cell_angle_gamma 90.00
_symmetry_space_group_name_H-M 'P 4/m b m'
_symmetry_Int_Tables_number 127
_symmetry_space_group_name_Hall '-P 4 2ab'
loop_
_atom_site_label
_atom_site_type_symbol
_atom_site_fract_x
_atom_site_fract_y
_atom_site_fract_z
_atom_site_occupancy
Sr1 Sr 0.175 0.325 0.000 1
W1 W 0.000 0.000 0.500 1
Au1 Au 0.146 0.646 0.500 1
```

Summary:
Crystal system = tetragonal

***

Entry 4:
This record from Alexandria describes SrW2Au after structural relaxation. The functional is PBE-GGA.

```
data_SrW2Au
_chemical_formula_sum 'Sr2 W4 Au2'
_cell_length_a 3.347
_cell_length_b 5.306
_cell_length_c 9.768
_cell_angle_alpha 90.00
_cell_angle_beta 90.00
_cell_angle_gamma 90.00
_symmetry_space_group_name_H-M 'I m m 2'
_symmetry_Int_Tables_number 44
loop_
_symmetry_equiv_pos_as_xyz
'x,y,z'
'-x,-y,z'
'-x,y,z'
'x,-y,z'
'x+1/2,y+1/2,z+1/2'
'-x+1/2,-y+1/2,z+1/2'
'-x+1/2,y+1/2,z+1/2'
'x+1/2,-y+1/2,z+1/2'
loop_
_atom_site_label
_atom_site_type_symbol
_atom_site_fract_x
_atom_site_fract_y
_atom_site_fract_z
_atom_site_occupancy
Sr1 Sr 0.000 0.000 0.000 1
W1 W 0.000 0.000 0.472 1
W2 W 0.000 0.500 0.788 1
Au1 Au 0.000 0.500 0.219 1
```

Summary:
Crystal system = orthorhombic

***

Energy above the most stable polymorph in this dataset values (in eV/f.u.) by entry order: 2.345; 1.956; 0.000; 1.627.
Theoretical density values (in g/cm³) by entry order: 11.8; 13.8; 9.7; 12.5.